# Ta2TlOsW PBE-GGA optimized geometry
# - Formation enthalpy at 0 K: 1.324 eV/atom
# - DOS(E_F): 4.72 states/eV per cell
data_Ta2TlOsW
_chemical_formula_sum 'Ta2 Tl1 Os1 W1'
_cell_length_a 4.877
_cell_length_b 4.877
_cell_length_c 4.812
_cell_angle_alpha 90.00
_cell_angle_beta 90.00
_cell_angle_gamma 90.00
_symmetry_space_group_name_H-M 'P 4/m m m'
_symmetry_Int_Tables_number 123
_symmetry_space_group_name_Hall '-P 4 2'
loop_
_atom_site_label
_atom_site_type_symbol
_atom_site_fract_x
_atom_site_fract_y
_atom_site_fract_z
Ta1 Ta 0.000 0.500 0.000
Tl1 Tl 0.000 0.000 0.500
Os1 Os 0.500 0.500 0.000
W1 W 0.500 0.500 0.500